SrNiAg PBE relaxed; V = 22.41 Å³ per atom; formation energy = 0.135 eV/atom; space-group type = Imm2, No. 44
1.0
5.787 -0.007 -0.082
3.561 4.562 0.082
-4.628 -2.371 2.540
Ni Ag Sr
1 1 1
direct
0.372 0.372 0.000
0.959 0.959 0.000
0.669 0.669 0.000